A relaxed structure of CaY2Ir. Source: the Alexandria database, functional PBE-GGA.

abc: 6.285 6.285 6.285
angles: 145.34 127.29 64.63
Positions (direct):
Ir: 0.250 0.750 0.500
Y: 0.440 0.440 0.000
Y: 0.060 0.060 0.000
Ca: 0.750 0.250 0.500

* E_tot: -25.2 eV for the cell shown
* energy relative to the lowest polymorph listed for this composition: 0.042 eV per atom
* energy of formation: -0.361 eV per atom